(1)
## ScGaRe (PBE)

Data for a geometry-optimized ScGaRe structure.

The space group is F-43m (No. 216) and the conventional cell measures 6.2593, 6.2593 and 6.2593 Å, with angles of 90.00, 90.00 and 90.00 degrees. The asymmetric unit holds Sc at (0.0000, 0.0000, 0.0000), Ga at (0.2500, 0.2500, 0.7500) and Re at (0.2500, 0.2500, 0.2500).

Its total moment is 0.9 μB/f.u. The energy relative to the lowest polymorph listed for this composition comes out at 515.6 meV/atom.


(2)
## ScGaRe2 (PBE)

Data for a geometry-optimized ScGaRe2 structure.

The space group is F-43m (No. 216) and the conventional cell measures 6.3140, 6.3140 and 6.3140 Å, with angles of 90.00, 90.00 and 90.00 degrees. The asymmetric unit holds Sc at (0.0000, 0.0000, 0.0000), Ga at (0.2500, 0.2500, 0.7500), Re at (0.0000, 0.0000, 0.5000) and Re at (0.2500, 0.2500, 0.2500).

Its total moment is 0.0 μB/f.u. Its raw total energy is -34.399 eV/f.u.


(3)
## ScGaRe (PBE)

Data for a geometry-optimized ScGaRe structure.

The space group is F-43m (No. 216) and the conventional cell measures 6.2024, 6.2024 and 6.2024 Å, with angles of 90.00, 90.00 and 90.00 degrees. The asymmetric unit holds Sc at (0.0000, 0.0000, 0.0000), Ga at (0.0000, 0.0000, 0.5000) and Re at (0.2500, 0.2500, 0.7500).

Its total moment is 0.6 μB/f.u. The energy relative to the lowest polymorph listed for this composition comes out at 0.0 meV/atom.


(4)
## Ga3ReSe (PBE)

Data for a geometry-optimized Ga3ReSe structure.

The space group is Ama2 (No. 40) and the conventional cell measures 5.4461, 6.3192 and 10.9685 Å, with angles of 90.00, 90.00 and 90.00 degrees. The asymmetric unit holds Ga at (0.2500, 0.0821, 0.0000), Ga at (0.2500, 0.1686, 0.2514), Ga at (0.2500, 0.2490, 0.6691), Re at (0.0000, 0.0000, 0.8068) and Se at (0.0000, 0.0000, 0.4737).

Its total moment is 0.0 μB/f.u. Its raw total energy is -23.730 eV/f.u.


(5)
## GaReSi (PBE)

Data for a geometry-optimized GaReSi structure.

The space group is F-43m (No. 216) and the conventional cell measures 5.8709, 5.8709 and 5.8709 Å, with angles of 90.00, 90.00 and 90.00 degrees. The asymmetric unit holds Ga at (0.0000, 0.0000, 0.0000), Re at (0.2500, 0.2500, 0.2500) and Si at (0.0000, 0.0000, 0.5000).

Its total moment is 0.0 μB/f.u. The energy relative to the lowest polymorph listed for this composition comes out at 602.2 meV/atom.


(6)
## GaReSi (PBE)

Data for a geometry-optimized GaReSi structure.

The space group is P4/nmm (No. 129, origin choice 2) and the conventional cell measures 3.2089, 3.2089 and 8.0924 Å, with angles of 90.00, 90.00 and 90.00 degrees. The asymmetric unit holds Ga at (0.2500, 0.2500, 0.0855), Re at (0.2500, 0.2500, 0.7294) and Si at (0.2500, 0.2500, 0.4153).

Its total moment is 0.0 μB/f.u. The energy relative to the lowest polymorph listed for this composition comes out at 0.0 meV/atom.


(7)
## GaReSi (PBE)

Data for a geometry-optimized GaReSi structure.

The space group is Pnma (No. 62) and the conventional cell measures 6.4421, 3.2224 and 8.0069 Å, with angles of 90.00, 90.00 and 90.00 degrees. The asymmetric unit holds Ga at (0.1261, 0.2500, 0.0790), Re at (0.1240, 0.2500, 0.7421) and Si at (0.1234, 0.2500, 0.4091).

Its total moment is 0.0 μB/f.u. The energy relative to the lowest polymorph listed for this composition comes out at 68.9 meV/atom.


(8)
## GaReSi (PBE)

Data for a geometry-optimized GaReSi structure.

The space group is F-43m (No. 216) and the conventional cell measures 5.7540, 5.7540 and 5.7540 Å, with angles of 90.00, 90.00 and 90.00 degrees. The asymmetric unit holds Ga at (0.0000, 0.0000, 0.0000), Re at (0.0000, 0.0000, 0.5000) and Si at (0.2500, 0.2500, 0.2500).

Its total moment is 0.0 μB/f.u. The energy relative to the lowest polymorph listed for this composition comes out at 602.7 meV/atom.